*w*
# Ba2TlIr, relaxed, DFT GGA-PBE
data_Ba2TlIr
_space_group_name_H-M_alt 'P 1'
_space_group_IT_number 1
_cell_length_a 5.4631
_cell_length_b 8.8215
_cell_length_c 4.3081
_cell_angle_alpha 60.91
_cell_angle_beta 89.91
_cell_angle_gamma 128.04
loop_
_space_group_symop_operation_xyz
'x,y,z'
loop_
_atom_site_label
_atom_site_fract_x
_atom_site_fract_y
_atom_site_fract_z
Ir1 0.5000 0.5000 0.0000
Ba1 0.0000 0.0000 0.0000
Ba2 0.0000 0.5000 0.5000
Tl1 0.5000 0.0000 0.5000
# - SG: No. 12
# - Magnetic moment: 0.00 μB per formula unit


*x*
# Ba2TlIr, relaxed, DFT GGA-PBE
data_Ba2TlIr
_space_group_name_H-M_alt 'P 1'
_space_group_IT_number 1
_cell_length_a 5.9774
_cell_length_b 5.9774
_cell_length_c 5.9774
_cell_angle_alpha 130.63
_cell_angle_beta 130.63
_cell_angle_gamma 72.40
loop_
_space_group_symop_operation_xyz
'x,y,z'
loop_
_atom_site_label
_atom_site_fract_x
_atom_site_fract_y
_atom_site_fract_z
Tl1 0.7500 0.2500 0.5000
Ir1 0.5000 0.5000 0.0000
Ba1 0.0000 0.0000 0.0000
Ba2 0.2500 0.7500 0.5000
# - SG: No. 119
# - Magnetic moment: 0.00 μB per formula unit


*y*
# Ba2TlIr, relaxed, DFT GGA-PBE
data_Ba2TlIr
_space_group_name_H-M_alt 'P 1'
_space_group_IT_number 1
_cell_length_a 3.8742
_cell_length_b 3.8742
_cell_length_c 9.4810
_cell_angle_alpha 90.00
_cell_angle_beta 90.00
_cell_angle_gamma 90.00
loop_
_space_group_symop_operation_xyz
'x,y,z'
loop_
_atom_site_label
_atom_site_fract_x
_atom_site_fract_y
_atom_site_fract_z
Ba1 0.0000 0.0000 0.9102
Ba2 0.5000 0.5000 0.3436
Tl1 0.5000 0.5000 0.6834
Ir1 0.0000 0.0000 0.5627
# - SG: No. 99
# - Magnetic moment: 0.00 μB per formula unit


*z*
# Ba2TlIr, relaxed, DFT GGA-PBE
data_Ba2TlIr
_space_group_name_H-M_alt 'P 1'
_space_group_IT_number 1
_cell_length_a 5.4763
_cell_length_b 5.4763
_cell_length_c 5.4763
_cell_angle_alpha 60.00
_cell_angle_beta 60.00
_cell_angle_gamma 60.00
loop_
_space_group_symop_operation_xyz
'x,y,z'
loop_
_atom_site_label
_atom_site_fract_x
_atom_site_fract_y
_atom_site_fract_z
Ir1 0.5000 0.5000 0.5000
Tl1 0.7500 0.7500 0.7500
Ba1 0.2500 0.2500 0.2500
Ba2 0.0000 0.0000 0.0000
# - SG: No. 216
# - Magnetic moment: 0.00 μB per formula unit


It comes down to *w*, which is 32 meV/atom more stable than the next structure.


*w*
# BaTlIr3, relaxed, DFT GGA-PBE
data_BaTlIr3
_space_group_name_H-M_alt 'P 1'
_space_group_IT_number 1
_cell_length_a 5.1000
_cell_length_b 5.1000
_cell_length_c 5.1000
_cell_angle_alpha 90.00
_cell_angle_beta 90.00
_cell_angle_gamma 90.00
loop_
_space_group_symop_operation_xyz
'x,y,z'
loop_
_atom_site_label
_atom_site_fract_x
_atom_site_fract_y
_atom_site_fract_z
Ir1 0.5000 0.0000 0.0000
Ba1 0.5000 0.5000 0.5000
Ir2 0.0000 0.5000 0.0000
Ir3 0.0000 0.0000 0.5000
Tl1 0.0000 0.0000 0.0000
# - SG: No. 221
# - Magnetic moment: 1.64 μB per formula unit


*x*
# BaTlIr3, relaxed, DFT GGA-PBE
data_BaTlIr3
_space_group_name_H-M_alt 'P 1'
_space_group_IT_number 1
_cell_length_a 5.2305
_cell_length_b 5.2305
_cell_length_c 5.2305
_cell_angle_alpha 90.00
_cell_angle_beta 90.00
_cell_angle_gamma 90.00
loop_
_space_group_symop_operation_xyz
'x,y,z'
loop_
_atom_site_label
_atom_site_fract_x
_atom_site_fract_y
_atom_site_fract_z
Ir1 0.0000 0.5000 0.0000
Ir2 0.0000 0.0000 0.5000
Tl1 0.5000 0.5000 0.5000
Ba1 0.0000 0.0000 0.0000
Ir3 0.5000 0.0000 0.0000
# - SG: No. 221
# - Magnetic moment: 1.79 μB per formula unit


It comes down to *w*, which is 1108 meV/atom more stable than the next structure.


*w*
# Ba2TlZnIr, relaxed, DFT GGA-PBE
data_Ba2TlZnIr
_space_group_name_H-M_alt 'P 1'
_space_group_IT_number 1
_cell_length_a 6.0978
_cell_length_b 6.0978
_cell_length_c 4.8810
_cell_angle_alpha 90.00
_cell_angle_beta 90.00
_cell_angle_gamma 90.00
loop_
_space_group_symop_operation_xyz
'x,y,z'
loop_
_atom_site_label
_atom_site_fract_x
_atom_site_fract_y
_atom_site_fract_z
Ba1 0.5000 0.0000 0.0000
Ir1 0.0000 0.0000 0.0000
Ba2 0.0000 0.5000 0.0000
Tl1 0.5000 0.5000 0.5000
Zn1 0.0000 0.0000 0.5000
# - SG: No. 123
# - Magnetic moment: 0.00 μB per formula unit


*x*
# Ba2TlZnIr, relaxed, DFT GGA-PBE
data_Ba2TlZnIr
_space_group_name_H-M_alt 'P 1'
_space_group_IT_number 1
_cell_length_a 6.0702
_cell_length_b 6.0702
_cell_length_c 5.2839
_cell_angle_alpha 90.00
_cell_angle_beta 90.00
_cell_angle_gamma 90.00
loop_
_space_group_symop_operation_xyz
'x,y,z'
loop_
_atom_site_label
_atom_site_fract_x
_atom_site_fract_y
_atom_site_fract_z
Ba1 0.0000 0.5000 0.0000
Ba2 0.5000 0.0000 0.0000
Ir1 0.0000 0.0000 0.0000
Tl1 0.0000 0.0000 0.5000
Zn1 0.5000 0.5000 0.5000
# - SG: No. 123
# - Magnetic moment: 0.00 μB per formula unit


It comes down to *w*, which is 61 meV/atom more stable than the next structure.


*w*
# BaV2Ir, relaxed, DFT GGA-PBE
data_BaV2Ir
_space_group_name_H-M_alt 'P 1'
_space_group_IT_number 1
_cell_length_a 5.1734
_cell_length_b 5.1734
_cell_length_c 9.0576
_cell_angle_alpha 73.41
_cell_angle_beta 73.41
_cell_angle_gamma 90.00
loop_
_space_group_symop_operation_xyz
'x,y,z'
loop_
_atom_site_label
_atom_site_fract_x
_atom_site_fract_y
_atom_site_fract_z
Ir1 0.0000 0.0000 0.0000
V1 0.8750 0.1250 0.2500
Ba1 0.5000 0.5000 0.0000
Ba2 0.2500 0.7500 0.5000
V2 0.8750 0.1250 0.7500
Ir2 0.7500 0.2500 0.5000
V3 0.8750 0.6250 0.2500
V4 0.3750 0.1250 0.7500
# - SG: No. 141
# - Magnetic moment: 3.93 μB per formula unit


*x*
# BaV2Ir, relaxed, DFT GGA-PBE
data_BaV2Ir
_space_group_name_H-M_alt 'P 1'
_space_group_IT_number 1
_cell_length_a 4.6424
_cell_length_b 4.6424
_cell_length_c 4.6424
_cell_angle_alpha 60.00
_cell_angle_beta 60.00
_cell_angle_gamma 60.00
loop_
_space_group_symop_operation_xyz
'x,y,z'
loop_
_atom_site_label
_atom_site_fract_x
_atom_site_fract_y
_atom_site_fract_z
V1 0.7500 0.7500 0.7500
Ir1 0.5000 0.5000 0.5000
Ba1 0.0000 0.0000 0.0000
V2 0.2500 0.2500 0.2500
# - SG: No. 225
# - Magnetic moment: 0.00 μB per formula unit


It comes down to *w*, which is 90 meV/atom more stable than the next structure.


*w*
# BaIrW2, relaxed, DFT GGA-PBE
data_BaIrW2
_space_group_name_H-M_alt 'P 1'
_space_group_IT_number 1
_cell_length_a 4.9904
_cell_length_b 4.9904
_cell_length_c 6.6985
_cell_angle_alpha 78.00
_cell_angle_beta 78.00
_cell_angle_gamma 35.93
loop_
_space_group_symop_operation_xyz
'x,y,z'
loop_
_atom_site_label
_atom_site_fract_x
_atom_site_fract_y
_atom_site_fract_z
W1 0.9989 0.9989 0.9989
Ir1 0.2773 0.2773 0.1485
W2 0.7127 0.7127 0.8679
Ba1 0.5111 0.5111 0.4847
# - SG: No. 8
# - Magnetic moment: 0.00 μB per formula unit


*x*
# BaIrW2, relaxed, DFT GGA-PBE
data_BaIrW2
_space_group_name_H-M_alt 'P 1'
_space_group_IT_number 1
_cell_length_a 5.7671
_cell_length_b 5.7671
_cell_length_c 5.7671
_cell_angle_alpha 138.92
_cell_angle_beta 138.92
_cell_angle_gamma 59.50
loop_
_space_group_symop_operation_xyz
'x,y,z'
loop_
_atom_site_label
_atom_site_fract_x
_atom_site_fract_y
_atom_site_fract_z
W1 0.0000 0.0000 0.0000
Ir1 0.7500 0.2500 0.5000
Ba1 0.2500 0.7500 0.5000
W2 0.5000 0.5000 0.0000
# - SG: No. 139
# - Magnetic moment: 0.00 μB per formula unit


*y*
# BaIrW2, relaxed, DFT GGA-PBE
data_BaIrW2
_space_group_name_H-M_alt 'P 1'
_space_group_IT_number 1
_cell_length_a 3.0465
_cell_length_b 5.0372
_cell_length_c 5.1373
_cell_angle_alpha 90.00
_cell_angle_beta 90.00
_cell_angle_gamma 90.00
loop_
_space_group_symop_operation_xyz
'x,y,z'
loop_
_atom_site_label
_atom_site_fract_x
_atom_site_fract_y
_atom_site_fract_z
W1 0.0000 0.0000 0.0000
Ba1 0.5000 0.0000 0.5000
W2 0.5000 0.5000 0.0000
Ir1 0.0000 0.5000 0.5000
# - SG: No. 47
# - Magnetic moment: 0.00 μB per formula unit


*z*
# BaIrW2, relaxed, DFT GGA-PBE
data_BaIrW2
_space_group_name_H-M_alt 'P 1'
_space_group_IT_number 1
_cell_length_a 5.0906
_cell_length_b 5.0906
_cell_length_c 9.4855
_cell_angle_alpha 74.43
_cell_angle_beta 74.43
_cell_angle_gamma 90.00
loop_
_space_group_symop_operation_xyz
'x,y,z'
loop_
_atom_site_label
_atom_site_fract_x
_atom_site_fract_y
_atom_site_fract_z
Ba1 0.5000 0.5000 0.0000
W1 0.3750 0.1251 0.7500
Ir1 0.7500 0.2500 0.5000
Ba2 0.2500 0.7500 0.5000
W2 0.8751 0.6250 0.2500
Ir2 0.0000 0.0000 0.0000
W3 0.8750 0.1249 0.7500
W4 0.8749 0.1250 0.2500
# - SG: No. 141
# - Magnetic moment: 0.00 μB per formula unit


It comes down to *w*, which is 388 meV/atom more stable than the next structure.


*w*
# BaIrW2, relaxed, DFT GGA-PBE
data_BaIrW2
_space_group_name_H-M_alt 'P 1'
_space_group_IT_number 1
_cell_length_a 10.9143
_cell_length_b 10.9143
_cell_length_c 10.9143
_cell_angle_alpha 15.39
_cell_angle_beta 15.39
_cell_angle_gamma 15.39
loop_
_space_group_symop_operation_xyz
'x,y,z'
loop_
_atom_site_label
_atom_site_fract_x
_atom_site_fract_y
_atom_site_fract_z
W1 0.4845 0.4845 0.4845
Ir1 0.7500 0.7500 0.7500
Ba1 0.2500 0.2500 0.2500
W2 0.0155 0.0155 0.0155
# - SG: No. 166
# - Magnetic moment: 0.00 μB per formula unit


*x*
# BaIrW2, relaxed, DFT GGA-PBE
data_BaIrW2
_space_group_name_H-M_alt 'P 1'
_space_group_IT_number 1
_cell_length_a 5.2715
_cell_length_b 5.2715
_cell_length_c 6.0026
_cell_angle_alpha 78.87
_cell_angle_beta 78.87
_cell_angle_gamma 35.18
loop_
_space_group_symop_operation_xyz
'x,y,z'
loop_
_atom_site_label
_atom_site_fract_x
_atom_site_fract_y
_atom_site_fract_z
Ir1 0.2500 0.2500 0.2500
W1 0.9628 0.9628 0.1189
Ba1 0.7500 0.7500 0.7500
W2 0.5372 0.5372 0.3811
# - SG: No. 12
# - Magnetic moment: 0.00 μB per formula unit


It comes down to *x*, which is 270 meV/atom more stable than the next structure.


*w*
# BaIrW2, relaxed, DFT GGA-PBE
data_BaIrW2
_space_group_name_H-M_alt 'P 1'
_space_group_IT_number 1
_cell_length_a 4.7966
_cell_length_b 4.7966
_cell_length_c 4.7966
_cell_angle_alpha 60.00
_cell_angle_beta 60.00
_cell_angle_gamma 60.00
loop_
_space_group_symop_operation_xyz
'x,y,z'
loop_
_atom_site_label
_atom_site_fract_x
_atom_site_fract_y
_atom_site_fract_z
W1 0.2500 0.2500 0.2500
Ir1 0.7500 0.7500 0.7500
W2 0.0000 0.0000 0.0000
Ba1 0.5000 0.5000 0.5000
# - SG: No. 216
# - Magnetic moment: 0.00 μB per formula unit


*x*
# BaIrW2, relaxed, DFT GGA-PBE
data_BaIrW2
_space_group_name_H-M_alt 'P 1'
_space_group_IT_number 1
_cell_length_a 5.1639
_cell_length_b 3.9884
_cell_length_c 3.9884
_cell_angle_alpha 90.00
_cell_angle_beta 90.00
_cell_angle_gamma 90.00
loop_
_space_group_symop_operation_xyz
'x,y,z'
loop_
_atom_site_label
_atom_site_fract_x
_atom_site_fract_y
_atom_site_fract_z
W1 0.0000 0.5000 0.5000
W2 0.0000 0.0000 0.0000
Ir1 0.5000 0.0000 0.5000
Ba1 0.5000 0.5000 0.0000
# - SG: No. 123
# - Magnetic moment: 0.00 μB per formula unit


*y*
# BaIrW2, relaxed, DFT GGA-PBE
data_BaIrW2
_space_group_name_H-M_alt 'P 1'
_space_group_IT_number 1
_cell_length_a 5.7480
_cell_length_b 5.7480
_cell_length_c 2.8449
_cell_angle_alpha 90.00
_cell_angle_beta 90.00
_cell_angle_gamma 121.88
loop_
_space_group_symop_operation_xyz
'x,y,z'
loop_
_atom_site_label
_atom_site_fract_x
_atom_site_fract_y
_atom_site_fract_z
Ba1 0.5000 0.0000 0.5000
W1 0.5000 0.5000 0.0000
Ir1 0.0000 0.5000 0.5000
W2 0.0000 0.0000 0.0000
# - SG: No. 65
# - Magnetic moment: 0.00 μB per formula unit


*z*
# BaIrW2, relaxed, DFT GGA-PBE
data_BaIrW2
_space_group_name_H-M_alt 'P 1'
_space_group_IT_number 1
_cell_length_a 6.3545
_cell_length_b 6.3545
_cell_length_c 6.3545
_cell_angle_alpha 154.06
_cell_angle_beta 131.12
_cell_angle_gamma 56.16
loop_
_space_group_symop_operation_xyz
'x,y,z'
loop_
_atom_site_label
_atom_site_fract_x
_atom_site_fract_y
_atom_site_fract_z
Ba1 0.2500 0.7500 0.5000
W1 0.5433 0.5433 0.0000
W2 0.9567 0.9567 0.0000
Ir1 0.7500 0.2500 0.5000
# - SG: No. 71
# - Magnetic moment: 0.00 μB per formula unit


It comes down to *z*, which is 345 meV/atom more stable than the next structure.


*w*
# BaIrW2, relaxed, DFT GGA-PBE
data_BaIrW2
_space_group_name_H-M_alt 'P 1'
_space_group_IT_number 1
_cell_length_a 3.0934
_cell_length_b 3.4264
_cell_length_c 8.1200
_cell_angle_alpha 90.00
_cell_angle_beta 90.00
_cell_angle_gamma 90.00
loop_
_space_group_symop_operation_xyz
'x,y,z'
loop_
_atom_site_label
_atom_site_fract_x
_atom_site_fract_y
_atom_site_fract_z
W1 0.5000 0.5000 0.1688
W2 0.0000 0.0000 0.9985
Ba1 0.0000 0.0000 0.5110
Ir1 0.5000 0.5000 0.8217
# - SG: No. 25
# - Magnetic moment: 0.00 μB per formula unit


*x*
# BaIrW2, relaxed, DFT GGA-PBE
data_BaIrW2
_space_group_name_H-M_alt 'P 1'
_space_group_IT_number 1
_cell_length_a 5.7640
_cell_length_b 5.7640
_cell_length_c 2.8785
_cell_angle_alpha 80.85
_cell_angle_beta 80.85
_cell_angle_gamma 120.71
loop_
_space_group_symop_operation_xyz
'x,y,z'
loop_
_atom_site_label
_atom_site_fract_x
_atom_site_fract_y
_atom_site_fract_z
W1 0.5000 0.5000 0.0000
Ba1 0.5000 0.0000 0.5000
Ir1 0.0000 0.5000 0.5000
W2 0.0000 0.0000 0.0000
# - SG: No. 12
# - Magnetic moment: 0.00 μB per formula unit


*y*
# BaIrW2, relaxed, DFT GGA-PBE
data_BaIrW2
_space_group_name_H-M_alt 'P 1'
_space_group_IT_number 1
_cell_length_a 2.8779
_cell_length_b 2.8779
_cell_length_c 9.7435
_cell_angle_alpha 90.00
_cell_angle_beta 90.00
_cell_angle_gamma 90.11
loop_
_space_group_symop_operation_xyz
'x,y,z'
loop_
_atom_site_label
_atom_site_fract_x
_atom_site_fract_y
_atom_site_fract_z
Ir1 0.5000 0.5000 0.7500
W1 0.0000 0.0000 0.9433
Ba1 0.5000 0.5000 0.2500
W2 0.0000 0.0000 0.5567
# - SG: No. 65
# - Magnetic moment: 0.00 μB per formula unit


It comes down to *w*, which is 241 meV/atom more stable than the next structure.


*w*
# BaIrW2, relaxed, DFT GGA-PBE
data_BaIrW2
_space_group_name_H-M_alt 'P 1'
_space_group_IT_number 1
_cell_length_a 3.4175
_cell_length_b 3.4175
_cell_length_c 7.8119
_cell_angle_alpha 90.00
_cell_angle_beta 90.00
_cell_angle_gamma 90.00
loop_
_space_group_symop_operation_xyz
'x,y,z'
loop_
_atom_site_label
_atom_site_fract_x
_atom_site_fract_y
_atom_site_fract_z
Ba1 0.5000 0.5000 0.2500
Ir1 0.5000 0.5000 0.7500
W1 0.0000 0.0000 0.9023
W2 0.0000 0.0000 0.5977
# - SG: No. 123
# - Magnetic moment: 0.00 μB per formula unit


*x*
# BaIrW2, relaxed, DFT GGA-PBE
data_BaIrW2
_space_group_name_H-M_alt 'P 1'
_space_group_IT_number 1
_cell_length_a 5.9292
_cell_length_b 5.9292
_cell_length_c 5.9292
_cell_angle_alpha 150.17
_cell_angle_beta 124.11
_cell_angle_gamma 64.64
loop_
_space_group_symop_operation_xyz
'x,y,z'
loop_
_atom_site_label
_atom_site_fract_x
_atom_site_fract_y
_atom_site_fract_z
Ba1 0.5001 0.5001 0.0000
W1 0.0055 0.0055 0.0000
W2 0.2070 0.7070 0.5000
Ir1 0.7874 0.2874 0.5000
# - SG: No. 44
# - Magnetic moment: 0.00 μB per formula unit


It comes down to *w*, which is 323 meV/atom more stable than the next structure.


*w*
# BaIrW2, relaxed, DFT GGA-PBE
data_BaIrW2
_space_group_name_H-M_alt 'P 1'
_space_group_IT_number 1
_cell_length_a 4.6735
_cell_length_b 3.1660
_cell_length_c 6.6511
_cell_angle_alpha 78.22
_cell_angle_beta 90.00
_cell_angle_gamma 90.00
loop_
_space_group_symop_operation_xyz
'x,y,z'
loop_
_atom_site_label
_atom_site_fract_x
_atom_site_fract_y
_atom_site_fract_z
Ir1 0.5000 0.7500 0.7500
W1 0.0000 0.9437 0.8933
Ba1 0.5000 0.2500 0.2500
W2 0.0000 0.5563 0.6067
# - SG: No. 10
# - Magnetic moment: 0.00 μB per formula unit


*x*
# BaIrW2, relaxed, DFT GGA-PBE
data_BaIrW2
_space_group_name_H-M_alt 'P 1'
_space_group_IT_number 1
_cell_length_a 4.7178
_cell_length_b 4.7178
_cell_length_c 4.7178
_cell_angle_alpha 60.00
_cell_angle_beta 60.00
_cell_angle_gamma 60.00
loop_
_space_group_symop_operation_xyz
'x,y,z'
loop_
_atom_site_label
_atom_site_fract_x
_atom_site_fract_y
_atom_site_fract_z
W1 0.2500 0.2500 0.2500
Ba1 0.0000 0.0000 0.0000
W2 0.7500 0.7500 0.7500
Ir1 0.5000 0.5000 0.5000
# - SG: No. 225
# - Magnetic moment: 0.00 μB per formula unit


It comes down to *w*, which is 375 meV/atom more stable than the next structure.